Entry 1:
A geometry-optimized CePuAlGa structure, computed with PBE-GGA.

Unit cell a=5.0966 b=5.0966 c=5.0966 alpha=60.00 beta=60.00 gamma=60.00
Each line ends with the local moment (μB).
Fractional coordinates of all 4 atoms:
1 Pu 0.7500 0.7500 0.7500  5.28
2 Ce 0.2500 0.2500 0.2500  -0.27
3 Al 0.5000 0.5000 0.5000  -0.02
4 Ga 0.0000 0.0000 0.0000  -0.03

Output
* distance to the lowest polymorph of the same formula: 0.00 kcal/mol of atoms
* space group: F-43m

***

Entry 2:
A geometry-optimized CePuAlGa structure, computed with PBE-GGA.

Unit cell a=3.0074 b=5.5133 c=5.5313 alpha=90.00 beta=90.00 gamma=105.83
Each line ends with the local moment (μB).
Fractional coordinates of all 4 atoms:
1 Ga 0.0687 0.1373 0.5000  0.01
2 Ce 0.9412 0.8824 0.0000  -0.53
3 Al 0.7977 0.5954 0.5000  0.03
4 Pu 0.2048 0.4097 0.0000  -5.20

Output
* distance to the lowest polymorph of the same formula: 5.69 kcal/mol of atoms
* space group: Amm2

***

Entry 3:
A geometry-optimized CeAlGaRh3 structure, computed with PBE-GGA.

Unit cell a=5.5162 b=5.5129 c=8.4261 alpha=109.09 beta=90.00 gamma=90.00
Each line ends with the local moment (μB).
Fractional coordinates of all 12 atoms:
1 Ce 0.2500 0.7297 0.4594  0.37
2 Rh 0.7500 0.7482 0.4964  -0.04
3 Ga 0.2500 0.0975 0.1950  0.00
4 Rh 0.5000 0.2519 0.0000  -0.01
5 Ce 0.7500 0.2703 0.5406  0.37
6 Al 0.7500 0.5948 0.1896  0.00
7 Ga 0.7500 0.9025 0.8050  0.00
8 Rh 0.0000 0.7481 0.0000  -0.01
9 Rh 0.0000 0.2519 0.0000  -0.01
10 Al 0.2500 0.4052 0.8104  0.00
11 Rh 0.5000 0.7481 0.0000  -0.01
12 Rh 0.2500 0.2518 0.5036  -0.04

Output
* space group: Cmcm

***

Entry 4:
A geometry-optimized Ce2AlGa6Rh structure, computed with PBE-GGA.

Unit cell a=6.3347 b=6.3347 c=12.3281 alpha=75.11 beta=75.11 gamma=60.00
Each line ends with the local moment (μB).
Fractional coordinates of all 20 atoms:
1 Ga 0.9478 0.3436 0.3650  0.00
2 Ga 0.0522 0.6564 0.6350  0.00
3 Ga 0.2038 0.2038 0.8355  0.00
4 Ga 0.3436 0.3436 0.3650  0.00
5 Rh 0.5726 0.5726 0.2821  -0.01
6 Ga 0.7568 0.2038 0.8355  0.00
7 Al 0.5000 0.5000 0.5000  0.00
8 Rh 0.4274 0.4274 0.7179  -0.01
9 Ga 0.2432 0.7962 0.1645  0.00
10 Ga 0.7962 0.7962 0.1645  0.00
11 Ga 0.3436 0.9478 0.3650  0.00
12 Ce 0.1340 0.1340 0.5979  0.17
13 Ga 0.7962 0.2432 0.1645  0.00
14 Ce 0.8660 0.8660 0.4021  0.17
15 Ce 0.3074 0.3074 0.0779  0.86
16 Ce 0.6926 0.6926 0.9221  0.86
17 Ga 0.2038 0.7568 0.8355  0.00
18 Ga 0.6564 0.6564 0.6350  0.00
19 Al 0.0000 0.0000 0.0000  -0.01
20 Ga 0.6564 0.0522 0.6350  0.00

Output
* space group: R-3m

***

Entry 5:
A geometry-optimized Ce2Al2GaRh5 structure, computed with PBE-GGA.

Unit cell a=3.5099 b=9.9001 c=9.9001 alpha=90.00 beta=90.00 gamma=90.00
Each line ends with the local moment (μB).
Fractional coordinates of all 20 atoms:
1 Rh 0.5000 0.5000 0.0000  -0.03
2 Al 0.0000 0.8776 0.3776  0.00
3 Ga 0.0000 0.0000 0.0000  0.00
4 Rh 0.5000 0.7049 0.4320  -0.03
5 Rh 0.5000 0.2049 0.0680  -0.03
6 Rh 0.5000 0.4320 0.2951  -0.03
7 Rh 0.5000 0.5680 0.7049  -0.03
8 Ce 0.0000 0.8233 0.6767  0.49
9 Al 0.0000 0.6224 0.8776  0.00
10 Ce 0.0000 0.6767 0.1767  0.49
11 Rh 0.5000 0.2951 0.5680  -0.03
12 Ga 0.0000 0.5000 0.5000  0.00
13 Ce 0.0000 0.1767 0.3233  0.49
14 Rh 0.5000 0.0680 0.7951  -0.03
15 Rh 0.5000 0.7951 0.9320  -0.03
16 Rh 0.5000 0.9320 0.2049  -0.03
17 Al 0.0000 0.3776 0.1224  0.00
18 Rh 0.5000 0.0000 0.5000  -0.03
19 Ce 0.0000 0.3233 0.8233  0.49
20 Al 0.0000 0.1224 0.6224  0.00

Output
* space group: P4/mbm

***

Entry 6:
A geometry-optimized Ce2AlGa2Ru5 structure, computed with PBE-GGA.

Unit cell a=3.3958 b=9.9878 c=9.9878 alpha=90.00 beta=90.00 gamma=90.00
Fractional coordinates of all 20 atoms:
1 Ga 0.0000 0.6280 0.8720
2 Ru 0.5000 0.4246 0.3040
3 Ga 0.0000 0.3720 0.1280
4 Ru 0.5000 0.9246 0.1960
5 Ru 0.5000 0.1960 0.0754
6 Ru 0.5000 0.0754 0.8040
7 Ru 0.5000 0.6960 0.4246
8 Ru 0.5000 0.5000 0.0000
9 Al 0.0000 0.0000 0.0000
10 Al 0.0000 0.5000 0.5000
11 Ce 0.0000 0.1718 0.3282
12 Ru 0.5000 0.0000 0.5000
13 Ga 0.0000 0.1280 0.6280
14 Ru 0.5000 0.3040 0.5754
15 Ce 0.0000 0.3282 0.8282
16 Ga 0.0000 0.8720 0.3720
17 Ce 0.0000 0.8282 0.6718
18 Ce 0.0000 0.6718 0.1718
19 Ru 0.5000 0.5754 0.6960
20 Ru 0.5000 0.8040 0.9246

Output
* space group: P4/mbm

***

Entry 7:
A geometry-optimized Ce2Al2GaRu5 structure, computed with PBE-GGA.

Unit cell a=3.3589 b=10.0169 c=10.0169 alpha=90.00 beta=90.00 gamma=90.00
Fractional coordinates of all 20 atoms:
1 Ru 0.5000 0.3016 0.5759
2 Al 0.0000 0.3736 0.1264
3 Ru 0.5000 0.0000 0.5000
4 Ru 0.5000 0.4241 0.3016
5 Al 0.0000 0.6264 0.8736
6 Ru 0.5000 0.9241 0.1984
7 Al 0.0000 0.8736 0.3736
8 Ru 0.5000 0.5000 0.0000
9 Ru 0.5000 0.1984 0.0759
10 Ce 0.0000 0.3262 0.8262
11 Al 0.0000 0.1264 0.6264
12 Ru 0.5000 0.0759 0.8016
13 Ce 0.0000 0.8262 0.6738
14 Ru 0.5000 0.6984 0.4241
15 Ru 0.5000 0.5759 0.6984
16 Ce 0.0000 0.6738 0.1738
17 Ga 0.0000 0.5000 0.5000
18 Ga 0.0000 0.0000 0.0000
19 Ce 0.0000 0.1738 0.3262
20 Ru 0.5000 0.8016 0.9241

Output
* space group: P4/mbm

***

Entry 8:
A geometry-optimized CeScAlGa structure, computed with PBE-GGA.

Unit cell a=4.9784 b=4.9784 c=4.9784 alpha=60.00 beta=60.00 gamma=60.00
Each line ends with the local moment (μB).
Fractional coordinates of all 4 atoms:
1 Sc 0.5000 0.5000 0.5000  0.02
2 Ce 0.0000 0.0000 0.0000  0.47
3 Al 0.7500 0.7500 0.7500  0.01
4 Ga 0.2500 0.2500 0.2500  0.01

Output
* space group: F-43m

***

Entry 9:
A geometry-optimized Ce2SmAl2Ga2 structure, computed with PBE-GGA.

Unit cell a=4.3817 b=4.3817 c=9.6473 alpha=76.87 beta=76.87 gamma=60.00
Each line ends with the local moment (μB).
Fractional coordinates of all 7 atoms:
1 Sm 0.0000 0.0000 0.0000  0.03
2 Al 0.4062 0.4062 0.7813  0.00
3 Al 0.5938 0.5938 0.2187  0.00
4 Ga 0.2639 0.2639 0.2082  0.00
5 Ga 0.7361 0.7361 0.7918  0.00
6 Ce 0.8584 0.8584 0.4249  0.84
7 Ce 0.1416 0.1416 0.5751  0.84

Output
* space group: R-3m

***

Entry 10:
A geometry-optimized SrCeAlGa structure, computed with PBE-GGA.

Unit cell a=5.3394 b=5.3394 c=5.3394 alpha=60.00 beta=60.00 gamma=60.00
Each line ends with the local moment (μB).
Fractional coordinates of all 4 atoms:
1 Ga 0.2500 0.2500 0.2500  0.01
2 Al 0.7500 0.7500 0.7500  0.00
3 Sr 0.5000 0.5000 0.5000  0.00
4 Ce 0.0000 0.0000 0.0000  0.63

Output
* space group: F-43m

***

Entry 11:
A geometry-optimized Tb2CeAl2Ga2 structure, computed with PBE-GGA.

Unit cell a=4.4439 b=4.4439 c=9.9682 alpha=77.12 beta=77.12 gamma=60.00
Each line ends with the local moment (μB).
Fractional coordinates of all 7 atoms:
1 Ga 0.7427 0.7427 0.7718  0.00
2 Ce 0.0000 0.0000 0.0000  0.35
3 Al 0.6043 0.6043 0.1872  0.00
4 Tb 0.1283 0.1283 0.6152  0.01
5 Ga 0.2573 0.2573 0.2282  0.00
6 Tb 0.8717 0.8717 0.3848  0.01
7 Al 0.3957 0.3957 0.8128  0.00

Output
* space group: R-3m

***

Entry 12:
A geometry-optimized CeAlGaTc structure, computed with PBE-GGA.

Unit cell a=4.5327 b=4.5327 c=5.3552 alpha=64.96 beta=64.96 gamma=60.00
Fractional coordinates of all 4 atoms:
1 Al 0.3423 0.3423 0.9730
2 Ce 0.8111 0.8111 0.5668
3 Tc 0.9777 0.9777 0.0668
4 Ga 0.5947 0.5947 0.2158

Output
* space group: R3m

***

Number 1: D(E_F) 2.1423 states/eV/atom, E_form -0.26 eV per atom. Number 2: D(E_F) 1.6776 states/eV/atom, E_form -0.01 eV per atom. Number 3: D(E_F) 1.0874 states/eV/atom, E_form -0.49 eV per atom. Number 4: D(E_F) 1.2350 states/eV/atom, E_form -0.42 eV per atom. Number 5: D(E_F) 0.8887 states/eV/atom, E_form -0.76 eV per atom. Number 6: D(E_F) 0.6655 states/eV/atom, E_form -0.38 eV per atom. Number 7: D(E_F) 0.5870 states/eV/atom, E_form -0.39 eV per atom. Number 8: D(E_F) 1.4328 states/eV/atom, E_form -0.43 eV per atom. Number 9: D(E_F) 1.5348 states/eV/atom, E_form -0.41 eV per atom. Number 10: D(E_F) 1.7336 states/eV/atom, E_form -0.22 eV per atom. Number 11: D(E_F) 1.1512 states/eV/atom, E_form -0.37 eV per atom. Number 12: D(E_F) 0.6076 states/eV/atom, E_form -0.30 eV per atom.